{
  "formula": "Mn2Ga4O9",
  "functional": "GGA+U",
  "state": "optimized geometry",
  "mass_density_g_cm3": 5.72,
  "final_energy_ev_per_cell": -194.4,
  "magnetic_moment_mub_per_atom": 0.533,
  "cell": [[5.0718, 0.0000, 0.0000], [2.5310, 4.4326, 0.0000], [0.4446, 0.5690, 13.7607]],
  "species": ["Mn", "Mn", "Mn", "Mn", "Ga", "Ga", "Ga", "Ga", "Ga", "Ga", "Ga", "Ga", "O", "O", "O", "O", "O", "O", "O", "O", "O", "O", "O", "O", "O", "O", "O", "O", "O", "O"],
  "frac_coords": [[0.0019, 0.0071, 0.3541], [0.0017, 0.9955, 0.1463], [0.9983, 0.0045, 0.8537], [0.9981, 0.9929, 0.6459], [0.3272, 0.3351, 0.9780], [0.3304, 0.3393, 0.1870], [0.3368, 0.3292, 0.4778], [0.3379, 0.3274, 0.6868], [0.6621, 0.6726, 0.3132], [0.6632, 0.6708, 0.5222], [0.6696, 0.6607, 0.8130], [0.6728, 0.6649, 0.0220], [0.0042, 0.3123, 0.2600], [0.0235, 0.3252, 0.5804], [0.0385, 0.6102, 0.0836], [0.3059, 0.6977, 0.2468], [0.3072, 0.0000, 0.7560], [0.3347, 0.0207, 0.0805], [0.3395, 0.6254, 0.5837], [0.3597, 0.6700, 0.9167], [0.3821, 0.9685, 0.4169], [0.6179, 0.0315, 0.5831], [0.6403, 0.3300, 0.0833], [0.6605, 0.3746, 0.4163], [0.6653, 0.9793, 0.9195], [0.6928, 0.0000, 0.2440], [0.6941, 0.3023, 0.7532], [0.9615, 0.3898, 0.9164], [0.9765, 0.6748, 0.4196], [0.9958, 0.6877, 0.7400]]
}